No. 1
YTc2P | GGA-PBE | relaxed

Calculated values
Formation energy from the elements in meV/atom: 87
Total DFT energy (no corrections) in eV/atom: -8.064
Magnetic moment in μB per atom: 0.000

abc: 4.792 4.792 4.792
angles: 127.97 127.97 76.67
Element x y z (fractional)
P 0.750 0.250 0.500
Tc 0.250 0.750 0.500
Tc 0.000 0.000 0.000
Y 0.500 0.500 0.000

---

No. 2
CoRuAu2 | GGA-PBE | relaxed

Calculated values
Formation energy from the elements in meV/atom: 417
Total DFT energy (no corrections) in eV/atom: -5.317
Magnetic moment in μB per atom: 0.894

abc: 4.911 4.911 4.911
angles: 132.99 133.00 68.66
Site moments in Bohr magnetons follow the coordinates.
Element x y z (fractional)
Au 0.500 0.500 0.000  0.07
Au 0.000 0.000 0.000  0.07
Ru 0.250 0.750 0.500  1.53
Co 0.750 0.250 0.500  1.92

---

Q: Among the records above, which one has the highest magnetic moment?
A: CoRuAu2